The following is a DFT calculation (PBE-GGA) of a relaxed Tc2S crystal.

```
6
Lattice="0.000 5.085 5.085 5.085 0.000 5.085 5.085 5.085 0.000" Properties=species:S:1:pos:R:3 pbc="T T T"
Tc 0.000 0.000 0.000
Tc 2.542 2.542 0.000
Tc 2.542 0.000 2.542
Tc 0.000 2.542 2.542
S 1.271 1.271 1.271
S 8.899 8.899 8.899
```

Properties
* polymorph energy (0 for the lowest one): 1120 meV/atom
* SG: Fd-3m
* crystal system: cubic


The following is a DFT calculation (PBE-GGA) of a relaxed TcS2 crystal.

```
12
Lattice="5.760 0.000 0.000 0.000 5.760 0.000 0.000 0.000 5.760" Properties=species:S:1:pos:R:3 pbc="T T T"
Tc 0.000 0.000 0.000
Tc 0.000 2.880 2.880
Tc 2.880 0.000 2.880
Tc 2.880 2.880 0.000
S 0.680 3.559 5.080
S 0.680 5.080 2.200
S 2.200 0.680 5.080
S 2.200 2.200 2.200
S 3.559 3.559 3.559
S 3.559 5.080 0.680
S 5.080 0.680 3.559
S 5.080 2.200 0.680
```

Properties
* polymorph energy (0 for the lowest one): 231 meV/atom
* SG: Pa-3
* crystal system: cubic